(1)
Density functional theory data (PBE) for a geometry-optimized LaTlCoTe3 structure.

## Properties
**Symmetry**: No. 62
**Total magnetization**: 9.57 μB per cell
**Uncorrected energy**: -4.622 eV/atom

```
24
Lattice="12.4729 0.0000 0.0000 0.0000 4.4778 0.0000 0.0000 0.0000 13.3983" Properties=species:S:1:pos:R:3 pbc="T T T"
La 0.2630 3.3583 11.0656
La 6.4994 3.3583 9.0319
La 12.2099 1.1195 2.3327
La 5.9735 1.1195 4.3665
Te 9.7771 3.3583 9.4723
Te 4.7604 1.1195 7.4486
Te 7.7125 3.3583 5.9497
Te 6.8664 1.1195 11.3033
Te 0.6299 1.1195 8.7941
Te 2.6958 1.1195 3.9260
Te 5.6065 3.3583 2.0950
Te 3.5406 3.3583 10.6252
Te 8.9323 1.1195 2.7731
Te 10.9968 1.1195 12.6489
Te 11.8430 3.3583 4.6042
Te 1.4761 3.3583 0.7495
Co 3.1124 1.1195 9.4212
Co 9.3605 3.3583 3.9771
Co 9.3489 1.1195 10.6763
Co 3.1240 3.3583 2.7220
Tl 4.1063 1.1195 13.3876
Tl 2.1301 3.3583 6.6885
Tl 10.3428 1.1195 6.7099
Tl 8.3666 3.3583 0.0107
```



(2)
Density functional theory data (PBE) for a geometry-optimized LaTlCo structure.

## Properties
**Symmetry**: No. 216
**Total magnetization**: 1.07 μB per cell
**Uncorrected energy**: -4.136 eV/atom

```
3
Lattice="0.0000 3.5494 3.5494 3.5494 0.0000 3.5494 3.5494 3.5494 0.0000" Properties=species:S:1:pos:R:3 pbc="T T T"
Co 1.7747 1.7747 1.7747
La 0.0000 0.0000 0.0000
Tl 5.3241 5.3241 5.3241
```